1.
# Ce2PrEr (PBE-GGA, optimized geometry)
data_Ce2PrEr
_cell_length_a 8.050
_cell_length_b 8.050
_cell_length_c 8.050
_cell_angle_alpha 90.00
_cell_angle_beta 90.00
_cell_angle_gamma 90.00
_symmetry_space_group_name_H-M 'F m -3 m'
_symmetry_Int_Tables_number 225
_symmetry_space_group_name_Hall '-F 4 2 3'
loop_
_atom_site_label
_atom_site_type_symbol
_atom_site_fract_x
_atom_site_fract_y
_atom_site_fract_z
Ce1 Ce 0.250 0.250 0.250
Pr1 Pr 0.000 0.000 0.000
Er1 Er 0.000 0.000 0.500
# **Energy of formation**: 0.269 eV/atom
# **V**: 32.601 A^3/atom
# **ΔE to the lowest computed polymorph**: 0.165 eV/atom

=====

2.
# CePr12Er2 (PBE-GGA, optimized geometry)
data_CePr12Er2
_cell_length_a 6.605
_cell_length_b 6.605
_cell_length_c 25.768
_cell_angle_alpha 90.00
_cell_angle_beta 90.00
_cell_angle_gamma 90.00
_symmetry_space_group_name_H-M 'P 4/n b m'
_symmetry_Int_Tables_number 125
loop_
_symmetry_equiv_pos_as_xyz
'x,y,z'
'-x,-y,-z'
'-y+1/2,x,z'
'y+1/2,-x,-z'
'-x+1/2,-y+1/2,z'
'x+1/2,y+1/2,-z'
'y,-x+1/2,z'
'-y,x+1/2,-z'
'x,-y+1/2,-z'
'-x,y+1/2,z'
'-y+1/2,-x+1/2,-z'
'y+1/2,x+1/2,z'
'-x+1/2,y,-z'
'x+1/2,-y,z'
'y,x,-z'
'-y,-x,z'
loop_
_atom_site_label
_atom_site_type_symbol
_atom_site_fract_x
_atom_site_fract_y
_atom_site_fract_z
Ce1 Ce 0.250 0.750 0.000
Pr1 Pr 0.066 0.566 0.112
Pr2 Pr 0.081 0.581 0.437
Pr3 Pr 0.250 0.250 0.214
Pr4 Pr 0.250 0.250 0.336
Er1 Er 0.250 0.750 0.272
# **Energy of formation**: 0.334 eV/atom
# **V**: 37.470 A^3/atom

=====

3.
# CePr6Er (PBE-GGA, optimized geometry)
data_CePr6Er
_cell_length_a 7.352
_cell_length_b 10.318
_cell_length_c 14.705
_cell_angle_alpha 90.00
_cell_angle_beta 90.00
_cell_angle_gamma 90.00
_symmetry_space_group_name_H-M 'F m m m'
_symmetry_Int_Tables_number 69
_symmetry_space_group_name_Hall '-F 2 2'
loop_
_atom_site_label
_atom_site_type_symbol
_atom_site_fract_x
_atom_site_fract_y
_atom_site_fract_z
Ce1 Ce 0.000 0.000 0.000
Pr1 Pr 0.000 0.000 0.248
Pr2 Pr 0.250 0.250 0.121
Er1 Er 0.000 0.000 0.500
# **Energy of formation**: 0.050 eV/atom
# **V**: 34.860 A^3/atom

=====

4.
# CePr8Er5 (PBE-GGA, optimized geometry)
data_CePr8Er5
_cell_length_a 12.338
_cell_length_b 9.674
_cell_length_c 10.150
_cell_angle_alpha 90.00
_cell_angle_beta 126.69
_cell_angle_gamma 90.00
_symmetry_space_group_name_H-M 'C 1 2 1'
_symmetry_Int_Tables_number 5
_symmetry_space_group_name_Hall 'C 2y'
loop_
_atom_site_label
_atom_site_type_symbol
_atom_site_fract_x
_atom_site_fract_y
_atom_site_fract_z
Ce1 Ce 0.000 0.000 0.000
Pr1 Pr 0.068 0.040 0.711
Pr2 Pr 0.152 0.338 0.200
Pr3 Pr 0.175 0.702 0.937
Pr4 Pr 0.242 0.498 0.562
Er1 Er 0.000 0.726 0.500
Er2 Er 0.092 0.402 0.733
Er3 Er 0.156 0.698 0.257
# **Energy of formation**: 0.205 eV/atom
# **V**: 34.697 A^3/atom

=====

5.
# CePr6Er12 (PBE-GGA, optimized geometry)
data_CePr6Er12
_cell_length_a 13.2658
_cell_length_b 13.2658
_cell_length_c 12.5700
_cell_angle_alpha 90.00
_cell_angle_beta 90.00
_cell_angle_gamma 120.00
_symmetry_space_group_name_H-M 'R -3 m'
_symmetry_Int_Tables_number 166
_symmetry_space_group_name_Hall '-R 3 2"'
loop_
_atom_site_label
_atom_site_type_symbol
_atom_site_fract_x
_atom_site_fract_y
_atom_site_fract_z
Ce1 Ce 0.0000 0.0000 0.0000
Pr1 Pr 0.0392 0.5196 0.6187
Er1 Er 0.0000 0.2547 0.5000
Er2 Er 0.0913 0.1826 0.2621
# **Energy of formation**: 0.220 eV/atom
# **V**: 33.609 A^3/atom

=====

6.
# Ce2PrEr (PBE-GGA, optimized geometry)
data_Ce2PrEr
_cell_length_a 3.496
_cell_length_b 3.496
_cell_length_c 10.232
_cell_angle_alpha 90.00
_cell_angle_beta 90.00
_cell_angle_gamma 90.00
_symmetry_space_group_name_H-M 'P 4/m m m'
_symmetry_Int_Tables_number 123
_symmetry_space_group_name_Hall '-P 4 2'
loop_
_atom_site_label
_atom_site_type_symbol
_atom_site_fract_x
_atom_site_fract_y
_atom_site_fract_z
Ce1 Ce 0.000 0.000 0.244
Pr1 Pr 0.500 0.500 0.500
Er1 Er 0.500 0.500 0.000
# **Energy of formation**: 0.121 eV/atom
# **V**: 31.258 A^3/atom
# **ΔE to the lowest computed polymorph**: 0.016 eV/atom

=====

7.
# CePr6Er2 (PBE-GGA, optimized geometry)
data_CePr6Er2
_cell_length_a 10.397
_cell_length_b 7.132
_cell_length_c 8.902
_cell_angle_alpha 90.00
_cell_angle_beta 108.28
_cell_angle_gamma 90.00
_symmetry_space_group_name_H-M 'C 1 2/m 1'
_symmetry_Int_Tables_number 12
_symmetry_space_group_name_Hall '-C 2y'
loop_
_atom_site_label
_atom_site_type_symbol
_atom_site_fract_x
_atom_site_fract_y
_atom_site_fract_z
Ce1 Ce 0.000 0.000 0.000
Pr1 Pr 0.059 0.262 0.702
Pr2 Pr 0.165 0.500 0.090
Er1 Er 0.227 0.000 0.467
# **Energy of formation**: 0.153 eV/atom
# **V**: 34.825 A^3/atom

=====

8.
# CePr2Er6 (PBE-GGA, optimized geometry)
data_CePr2Er6
_cell_length_a 9.7321
_cell_length_b 9.7321
_cell_length_c 3.5151
_cell_angle_alpha 90.00
_cell_angle_beta 90.00
_cell_angle_gamma 120.00
_symmetry_space_group_name_H-M 'P -3'
_symmetry_Int_Tables_number 147
_symmetry_space_group_name_Hall '-P 3'
loop_
_atom_site_label
_atom_site_type_symbol
_atom_site_fract_x
_atom_site_fract_y
_atom_site_fract_z
Ce1 Ce 0.0000 0.0000 0.0000
Pr1 Pr 0.3333 0.6667 0.7641
Er1 Er 0.0211 0.6737 0.2702
# **Energy of formation**: 0.103 eV/atom
# **V**: 32.036 A^3/atom